No. 1
Density functional theory data (meta-GGA SCAN) for CoCl2O2 at its PBEsol-relaxed geometry.

The density of states at the Fermi level comes out at 0.72 states/eV per atom. The uncorrected formation energy is 0.013 eV per atom.

Structure (POSCAR):
```
CoCl2O2
1.0
3.3598 0.1462 0.1615
-0.1985 4.8670 -0.1087
-0.1985 -0.5913 4.8322
Co Cl O
1 2 2
direct
0.0000 0.0000 0.0000
0.4987 0.2469 0.2469
0.5013 0.7531 0.7531
0.0000 0.2216 0.7784
0.0000 0.7784 0.2216
```

---

No. 2
Density functional theory data (meta-GGA SCAN) for MnTe2PCl at its PBEsol-relaxed geometry.

The density of states at the Fermi level comes out at 0.63 states/eV per atom. The uncorrected formation energy is 0.226 eV per atom.

Structure (POSCAR):
```
MnTe2PCl
1.0
-2.7880 0.0851 -3.6207
2.9346 -3.6584 -2.3457
-2.9418 -3.7556 2.1770
P Te Mn Cl
1 2 1 1
direct
0.0000 0.0000 0.0000
0.0000 0.0000 0.5000
0.0000 0.5000 0.0000
0.5000 0.0000 0.0000
0.5000 0.5000 0.5000
```

---

No. 3
Density functional theory data (meta-GGA SCAN) for Li3Zn at its PBEsol-relaxed geometry.

The density of states at the Fermi level comes out at 0.38 states/eV per atom. Its energy of formation is -0.110 eV per atom.

Structure (POSCAR):
```
Li3Zn
1.0
-3.4299 -1.8295 2.2116
-1.3706 -4.1327 -1.0221
0.7208 -3.3654 2.8560
Zn Li
1 3
direct
0.5000 0.5000 0.5000
0.2500 0.2500 0.2500
0.0000 0.0000 0.0000
0.7500 0.7500 0.7500
```

---

No. 4
Density functional theory data (meta-GGA SCAN) for LiLa3Pb at its PBEsol-relaxed geometry.

The density of states at the Fermi level comes out at 0.89 states/eV per atom. Its energy of formation is 0.110 eV per atom.

Structure (POSCAR):
```
LiLa3Pb
1.0
-3.7543 -4.7909 0.5972
4.3969 -3.0804 2.9296
-1.9942 2.2277 5.3353
Pb Li La
1 1 3
direct
0.0000 0.0000 0.0000
0.5000 0.5000 0.5000
0.0000 0.5000 0.0000
0.0000 0.0000 0.5000
0.5000 0.0000 0.0000
```

---

No. 5
Density functional theory data (meta-GGA SCAN) for ZnSi2Cl at its PBEsol-relaxed geometry.

The density of states at the Fermi level comes out at 0.33 states/eV per atom. The value obtained for the excess energy over the best structure of this formula in the dataset is 0.0225 eV/atom. The uncorrected formation energy is 0.387 eV per atom.

Structure (POSCAR):
```
ZnSi2Cl
1.0
3.4824 0.0000 0.0000
0.0000 3.4824 0.0000
0.0000 0.0000 6.0088
Cl Si Zn
1 2 1
direct
0.0000 0.0000 0.5000
0.0000 0.5000 0.0000
0.5000 0.0000 0.0000
0.5000 0.5000 0.5000
```

---

No. 6
Density functional theory data (meta-GGA SCAN) for Ba2BiPb2 at its PBEsol-relaxed geometry.

The density of states at the Fermi level comes out at 0.39 states/eV per atom. Its energy of formation is -0.759 eV per atom.

Structure (POSCAR):
```
Ba2BiPb2
1.0
-2.7827 2.8943 -3.2229
-7.1394 -2.8718 3.5853
0.2179 6.4069 5.5657
Pb Bi Ba
4 2 4
direct
0.0000 0.3735 0.8735
0.0000 0.8735 0.6265
0.0000 0.6265 0.1265
0.0000 0.1265 0.3735
0.0000 0.0000 0.0000
0.0000 0.5000 0.5000
0.5000 0.1756 0.6756
0.5000 0.6756 0.8244
0.5000 0.8244 0.3244
0.5000 0.3244 0.1756
```

---

No. 7
Density functional theory data (meta-GGA SCAN) for MnCd2 at its PBEsol-relaxed geometry.

The density of states at the Fermi level comes out at 0.39 states/eV per atom. Its energy of formation is -0.019 eV per atom.

Structure (POSCAR):
```
MnCd2
1.0
-1.2981 0.9971 2.4762
-0.9391 -2.7481 0.6142
6.1882 -0.1690 1.5330
Cd Mn
2 1
direct
0.6565 0.6565 0.3130
0.3435 0.3435 0.6870
0.0000 0.0000 0.0000
```

---

No. 8
Density functional theory data (meta-GGA SCAN) for MnZnSi2 at its PBEsol-relaxed geometry.

The density of states at the Fermi level comes out at 0.46 states/eV per atom. The uncorrected formation energy is 0.084 eV per atom.

Structure (POSCAR):
```
MnZnSi2
1.0
2.6666 0.0000 0.0000
0.0000 4.2512 -0.0107
-1.3333 -0.3617 4.4006
Mn Si Zn
1 2 1
direct
0.7464 0.2298 0.4927
0.0131 0.0266 0.0263
0.2495 0.7366 0.4989
0.4910 0.5070 0.9821
```

---

No. 9
Density functional theory data (meta-GGA SCAN) for LiMn2O3F at its PBEsol-relaxed geometry.

The value obtained for the excess energy over the best structure of this formula in the dataset is 0.0033 eV/atom. The uncorrected formation energy is -2.396 eV per atom.

Structure (POSCAR):
```
LiMn2O3F
1.0
-0.6084 -0.2698 -5.9900
3.7781 -3.3608 -3.2793
-4.7715 -8.5383 -2.0147
Li Mn O F
4 8 12 4
direct
0.2180 0.6811 0.9082
0.6811 0.2180 0.4082
0.3189 0.7820 0.5918
0.7820 0.3189 0.0918
0.5000 0.0000 0.0000
0.0000 0.5000 0.5000
0.2269 0.2713 0.2489
0.7287 0.7731 0.2511
0.2212 0.7788 0.2500
0.7731 0.7287 0.7511
0.2713 0.2269 0.7489
0.7788 0.2212 0.7500
0.1259 0.1228 0.1514
0.6852 0.5723 0.6427
0.5723 0.6852 0.1427
0.1228 0.1259 0.6514
0.5716 0.1166 0.1399
0.1166 0.5716 0.6399
0.8834 0.4284 0.3601
0.4284 0.8834 0.8601
0.3148 0.4277 0.3573
0.8741 0.8772 0.8486
0.8772 0.8741 0.3486
0.4277 0.3148 0.8573
0.3548 0.8854 0.3963
0.8854 0.3548 0.8963
0.1146 0.6452 0.1037
0.6452 0.1146 0.6037
```

---

No. 10
Density functional theory data (meta-GGA SCAN) for SrMg2As at its PBEsol-relaxed geometry.

The density of states at the Fermi level comes out at 0.61 states/eV per atom. Its energy of formation is -0.282 eV per atom.

Structure (POSCAR):
```
SrMg2As
1.0
-3.8467 -1.3974 0.1062
0.8106 -1.8827 4.5909
-0.0149 6.0165 -0.2832
As Mg Sr
1 2 1
direct
0.2713 0.7713 0.5427
0.9400 0.9400 0.8801
0.7520 0.2520 0.5040
0.5366 0.5366 0.0732
```

---

No. 11
Density functional theory data (meta-GGA SCAN) for Sr3NbGe at its PBEsol-relaxed geometry.

The density of states at the Fermi level comes out at 0.81 states/eV per atom. Its energy of formation is 0.513 eV per atom.

Structure (POSCAR):
```
Sr3NbGe
1.0
5.9276 0.0000 0.0000
0.0000 5.9276 0.0000
0.0000 0.0000 5.9276
Sr Nb Ge
3 1 1
direct
0.0000 0.5000 0.0000
0.0000 0.0000 0.5000
0.5000 0.0000 0.0000
0.5000 0.5000 0.5000
0.0000 0.0000 0.0000
```

---

No. 12
Density functional theory data (meta-GGA SCAN) for LaNb8O14 at its PBEsol-relaxed geometry.

The density of states at the Fermi level comes out at 0.14 states/eV per atom. The uncorrected formation energy is -2.676 eV per atom.

Structure (POSCAR):
```
LaNb8O14
1.0
-0.2899 -5.9449 0.6903
8.9088 -0.2116 1.9188
-2.1305 1.2687 10.0314
La Nb O
2 16 28
direct
0.5000 0.0000 0.0000
0.5000 0.5000 0.5000
0.2678 0.1272 0.4230
0.7322 0.8728 0.5770
0.2678 0.8728 0.5770
0.7322 0.3728 0.9230
0.7322 0.1272 0.4230
0.2678 0.6272 0.0770
0.7322 0.6272 0.0770
0.2678 0.3728 0.9230
0.5000 0.3789 0.1637
0.5000 0.6211 0.8363
0.5000 0.1211 0.6637
0.5000 0.8789 0.3363
0.0000 0.1127 0.1659
0.0000 0.8873 0.8341
0.0000 0.3873 0.6659
0.0000 0.6127 0.3341
0.0000 0.2388 0.3205
0.0000 0.7612 0.6795
0.0000 0.2612 0.8205
0.0000 0.7388 0.1795
0.2625 0.2307 0.0827
0.7375 0.7693 0.9173
0.2625 0.7693 0.9173
0.7375 0.2693 0.5827
0.7375 0.2307 0.0827
0.2625 0.7307 0.4173
0.7375 0.7307 0.4173
0.2625 0.2693 0.5827
0.0000 0.0000 0.5000
0.0000 0.5000 0.0000
0.5000 0.2740 0.3536
0.5000 0.7260 0.6464
0.5000 0.2260 0.8536
0.5000 0.7740 0.1464
0.2559 0.0021 0.2474
0.7441 0.9979 0.7526
0.2559 0.9979 0.7526
0.7441 0.4979 0.7474
0.7441 0.0021 0.2474
0.2559 0.5021 0.2526
0.7441 0.5021 0.2526
0.2559 0.4979 0.7474
0.0000 0.0000 0.0000
0.0000 0.5000 0.5000
```

---

No. 13
Density functional theory data (meta-GGA SCAN) for Ca2TaBRu at its PBEsol-relaxed geometry.

The density of states at the Fermi level comes out at 1.03 states/eV per atom. Its energy of formation is 0.768 eV per atom.

Structure (POSCAR):
```
Ca2TaBRu
1.0
3.9655 0.0000 0.0000
0.0000 5.0403 0.0000
0.0000 0.0000 5.0403
Ru Ca B Ta
1 2 1 1
direct
0.5000 0.0000 0.0000
0.0000 0.0000 0.5000
0.0000 0.5000 0.0000
0.0000 0.0000 0.0000
0.5000 0.5000 0.5000
```

---

No. 14
Density functional theory data (meta-GGA SCAN) for KBa3As at its PBEsol-relaxed geometry.

The density of states at the Fermi level comes out at 0.63 states/eV per atom. Its energy of formation is -0.551 eV per atom.

Structure (POSCAR):
```
KBa3As
1.0
-4.8638 -3.2544 -2.8192
1.0668 -5.0314 3.9677
-4.1714 2.5078 4.3018
K As Ba
1 1 3
direct
0.5000 0.5000 0.5000
0.0000 0.0000 0.0000
0.0000 0.5000 0.0000
0.0000 0.0000 0.5000
0.5000 0.0000 0.0000
```

---

No. 15
Density functional theory data (meta-GGA SCAN) for AgPRhS2 at its PBEsol-relaxed geometry.

The density of states at the Fermi level comes out at 0.87 states/eV per atom. The value obtained for the excess energy over the best structure of this formula in the dataset is 0.0000 eV/atom. The uncorrected formation energy is 0.539 eV per atom.

Structure (POSCAR):
```
AgPRhS2
1.0
-2.6381 -1.8221 2.8644
3.7363 -1.1635 2.7010
-0.3695 4.1466 2.2974
P S Rh Ag
1 2 1 1
direct
0.5000 0.0000 0.0000
0.0000 0.0000 0.5000
0.0000 0.5000 0.0000
0.0000 0.0000 0.0000
0.5000 0.5000 0.5000
```

---

No. 16
Density functional theory data (meta-GGA SCAN) for Sb3Se2 at its PBEsol-relaxed geometry.

The density of states at the Fermi level comes out at 0.60 states/eV per atom. The uncorrected formation energy is -0.097 eV per atom.

Structure (POSCAR):
```
Sb3Se2
1.0
4.0627 0.0000 0.0000
2.0314 3.5184 0.0000
2.0314 1.1728 9.4138
Sb Se
3 2
direct
0.0000 0.0000 0.0000
0.1962 0.1962 0.4114
0.8038 0.8038 0.5886
0.6081 0.6081 0.1758
0.3919 0.3919 0.8242
```

---

No. 17
Density functional theory data (meta-GGA SCAN) for CdAu at its PBEsol-relaxed geometry.

The density of states at the Fermi level comes out at 0.30 states/eV per atom. Its energy of formation is -0.154 eV per atom.

Structure (POSCAR):
```
CdAu
1.0
2.8729 0.0000 0.0000
0.0000 4.7505 0.0000
-1.4364 0.0000 5.4201
Au Cd
2 2
direct
0.8433 0.7500 0.6866
0.1567 0.2500 0.3134
0.5846 0.7500 0.1693
0.4154 0.2500 0.8307
```

---

No. 18
Density functional theory data (meta-GGA SCAN) for ScCr4Ag at its PBEsol-relaxed geometry.

The density of states at the Fermi level comes out at 1.18 states/eV per atom. Its energy of formation is 0.385 eV per atom.

Structure (POSCAR):
```
ScCr4Ag
1.0
-2.2565 3.2446 -2.8451
-4.4578 1.5760 1.1654
-0.6379 4.5715 1.5519
Ag Cr Sc
1 4 1
direct
0.0000 0.0000 0.0000
0.3762 0.3762 0.3762
0.3762 0.3762 0.8715
0.8715 0.3762 0.3762
0.3762 0.8715 0.3762
0.7500 0.7500 0.7500
```

---

No. 19
Density functional theory data (meta-GGA SCAN) for Li2Pr2Ge3 at its PBEsol-relaxed geometry.

The density of states at the Fermi level comes out at 0.15 states/eV per atom. Its energy of formation is -0.772 eV per atom.

Structure (POSCAR):
```
Li2Pr2Ge3
1.0
-4.4111 -0.3265 -0.0547
0.5035 -6.3738 -2.5511
2.3538 -3.2892 8.6825
Li Pr Ge
4 4 6
direct
0.8098 0.4381 0.6196
0.1902 0.5619 0.3804
0.8098 0.0619 0.6196
0.1902 0.9381 0.3804
0.5515 0.7500 0.1030
0.4485 0.2500 0.8970
0.3419 0.7500 0.6839
0.6581 0.2500 0.3161
0.9383 0.9324 0.8765
0.0617 0.0676 0.1235
0.9383 0.5676 0.8765
0.0617 0.4324 0.1235
0.7200 0.7500 0.4400
0.2800 0.2500 0.5600
```

---

No. 20
Density functional theory data (meta-GGA SCAN) for Si2HgAs2 at its PBEsol-relaxed geometry.

The density of states at the Fermi level comes out at 0.25 states/eV per atom. The uncorrected formation energy is 0.220 eV per atom.

Structure (POSCAR):
```
Si2HgAs2
1.0
4.7356 0.0000 0.0000
-2.3678 4.8537 0.0120
0.0000 2.3000 4.1395
As Si Hg
2 2 1
direct
0.7500 0.5000 0.7500
0.2500 0.5000 0.2500
0.6426 0.2853 0.3574
0.3574 0.7147 0.6426
0.0000 0.0000 0.0000
```

---

V (Å³/cell)
79; 126; 63; 229; 73; 371; 53; 50; 296; 104; 208; 564; 101; 274; 97; 135; 74; 82; 284; 95